Material: La2Zn2Tc2C
Method: DFT, PBE-GGA
State: relaxed

Its formation energy is -0.232 eV per atom. The total magnetic moment comes out at 0.00 μB per cell.

The space group is C2/m (No. 12) and the conventional cell measures 10.700, 3.994 and 7.540 Å, with angles of 90.00, 121.48 and 90.00 degrees. The asymmetric unit holds La at (0.073, 0.000, 0.283), Zn at (0.129, 0.500, 0.664), Tc at (0.205, 0.500, 0.060) and C at (0.000, 0.500, 0.000).

---

Material: La2ZnTcC
Method: DFT, PBE-GGA
State: relaxed

Its formation energy is -0.164 eV per atom. The total magnetic moment comes out at 0.00 μB per cell.

The space group is P4/mmm (No. 123) and the conventional cell measures 5.310, 5.310 and 3.995 Å, with angles of 90.00, 90.00 and 90.00 degrees. The asymmetric unit holds La at (0.000, 0.500, 0.000), Zn at (0.000, 0.000, 0.500), Tc at (0.500, 0.500, 0.500) and C at (0.500, 0.500, 0.000).

---

Material: La5Te2C
Method: DFT, PBE-GGA
State: relaxed

For the uncorrected formation energy, the calculation gives -643 meV per atom. The total magnetic moment comes out at 2.94 μB per cell.

The space group is Cmcm (No. 63) and the conventional cell measures 6.059, 12.362 and 14.483 Å, with angles of 90.00, 90.00 and 90.00 degrees. The asymmetric unit holds La at (0.000, 0.066, 0.145), La at (0.000, 0.283, 0.750), La at (0.000, 0.366, 0.123), Te at (0.000, 0.179, 0.551) and C at (0.000, 0.232, 0.250).